Entry 1:
# NdHo2Ga2Ag2

Crystalline NdHo2Ga2Ag2 at its relaxed geometry (PBE, Alexandria via LeMat-Bulk).

Values from the calculation:
The formation energy is -254 kJ/mol of formula units. Its crystal system is trigonal.

```
data_NdHo2Ga2Ag2
_chemical_formula_sum 'Nd3 Ho6 Ga6 Ag6'
_space_group_name_H-M_alt 'R -3 m'
_space_group_IT_number 166
_space_group_name_Hall '-R 3 2"'
_cell_length_a 4.6516
_cell_length_b 4.6516
_cell_length_c 26.8008
_cell_angle_alpha 90.00
_cell_angle_beta 90.00
_cell_angle_gamma 120.00
loop_
_atom_site_label
_atom_site_type_symbol
_atom_site_fract_x
_atom_site_fract_y
_atom_site_fract_z
_atom_site_occupancy
Nd1 Nd 0.0000 0.0000 0.0000 1
Ho1 Ho 0.0000 0.0000 0.1270 1
Ga1 Ga 0.0000 0.0000 0.2547 1
Ag1 Ag 0.0000 0.0000 0.4053 1
```

***

Entry 2:
# TbScPa

Crystalline TbScPa at its relaxed geometry (PBE, Alexandria via LeMat-Bulk).

Values from the calculation:
The formation energy is 29 kJ/mol of formula units. Its crystal system is trigonal.

```
data_TbScPa
_chemical_formula_sum 'Tb1 Sc1 Pa1'
_space_group_name_H-M_alt 'P 3 m 1'
_space_group_IT_number 156
_cell_length_a 3.3454
_cell_length_b 3.3454
_cell_length_c 8.2434
_cell_angle_alpha 90.00
_cell_angle_beta 90.00
_cell_angle_gamma 120.00
loop_
_space_group_symop_operation_xyz
'x,y,z'
'-y,x-y,z'
'-x+y,-x,z'
'-y,-x,z'
'-x+y,y,z'
'x,x-y,z'
loop_
_atom_site_label
_atom_site_type_symbol
_atom_site_fract_x
_atom_site_fract_y
_atom_site_fract_z
_atom_site_occupancy
Tb1 Tb 0.0000 0.0000 0.0000 1
Sc1 Sc 0.3333 0.6667 0.6485 1
Pa1 Pa 0.6667 0.3333 0.3351 1
```

***

Entry 3:
# TbMg2Ag

Crystalline TbMg2Ag at its relaxed geometry (PBE, Alexandria via LeMat-Bulk).

Values from the calculation:
The formation energy is -70 kJ/mol of formula units. Its crystal system is cubic.

```
data_TbMg2Ag
_chemical_formula_sum 'Tb4 Mg8 Ag4'
_space_group_name_H-M_alt 'F -4 3 m'
_space_group_IT_number 216
_space_group_name_Hall 'F -4 2 3'
_cell_length_a 7.127
_cell_length_b 7.127
_cell_length_c 7.127
_cell_angle_alpha 90.00
_cell_angle_beta 90.00
_cell_angle_gamma 90.00
loop_
_atom_site_label
_atom_site_type_symbol
_atom_site_fract_x
_atom_site_fract_y
_atom_site_fract_z
_atom_site_occupancy
Tb1 Tb 0.000 0.000 0.000 1
Mg1 Mg 0.000 0.000 0.500 1
Mg2 Mg 0.250 0.250 0.750 1
Ag1 Ag 0.250 0.250 0.250 1
```

***

Entry 4:
# Zr2InCl

Crystalline Zr2InCl at its relaxed geometry (PBE, Alexandria via LeMat-Bulk).

Values from the calculation:
Its total energy is -23.59 eV per formula unit. Its crystal system is monoclinic.

```
data_Zr2InCl
_chemical_formula_sum 'Zr2 In1 Cl1'
_space_group_name_H-M_alt 'P 1 m 1'
_space_group_IT_number 6
_cell_length_a 3.209
_cell_length_b 4.970
_cell_length_c 5.887
_cell_angle_alpha 90.00
_cell_angle_beta 105.65
_cell_angle_gamma 90.00
loop_
_space_group_symop_operation_xyz
'x,y,z'
'x,-y,z'
loop_
_atom_site_label
_atom_site_type_symbol
_atom_site_fract_x
_atom_site_fract_y
_atom_site_fract_z
_atom_site_occupancy
Zr1 Zr 0.000 0.000 0.000 1
Zr2 Zr 0.340 0.500 0.681 1
In1 In 0.737 0.000 0.479 1
Cl1 Cl 0.022 0.500 0.048 1
```

***

Entry 5:
# OsRuSe

Crystalline OsRuSe at its relaxed geometry (PBE, Alexandria via LeMat-Bulk).

Values from the calculation:
Its total energy is -22.38 eV per formula unit. Its crystal system is trigonal.

```
data_OsRuSe
_chemical_formula_sum 'Os1 Ru1 Se1'
_space_group_name_H-M_alt 'P 3 m 1'
_space_group_IT_number 156
_cell_length_a 4.1624
_cell_length_b 4.1624
_cell_length_c 3.0148
_cell_angle_alpha 90.00
_cell_angle_beta 90.00
_cell_angle_gamma 120.00
loop_
_space_group_symop_operation_xyz
'x,y,z'
'-y,x-y,z'
'-x+y,-x,z'
'-y,-x,z'
'-x+y,y,z'
'x,x-y,z'
loop_
_atom_site_label
_atom_site_type_symbol
_atom_site_fract_x
_atom_site_fract_y
_atom_site_fract_z
_atom_site_occupancy
Os1 Os 0.0000 0.0000 0.0000 1
Ru1 Ru 0.3333 0.6667 0.4883 1
Se1 Se 0.6667 0.3333 0.8226 1
```

***

Entry 6:
# Mg5CdPd3

Crystalline Mg5CdPd3 at its relaxed geometry (PBE, Alexandria via LeMat-Bulk).

Values from the calculation:
The formation energy is -434 kJ/mol of formula units. Its crystal system is hexagonal.

```
data_Mg5CdPd3
_chemical_formula_sum 'Mg10 Cd2 Pd6'
_space_group_name_H-M_alt 'P 63/m c m'
_space_group_IT_number 193
_space_group_name_Hall '-P 6c 2'
_cell_length_a 8.0507
_cell_length_b 8.0507
_cell_length_c 5.7405
_cell_angle_alpha 90.00
_cell_angle_beta 90.00
_cell_angle_gamma 120.00
loop_
_atom_site_label
_atom_site_type_symbol
_atom_site_fract_x
_atom_site_fract_y
_atom_site_fract_z
_atom_site_occupancy
Mg1 Mg 0.0000 0.3264 0.2500 1
Mg2 Mg 0.3333 0.6667 0.0000 1
Cd1 Cd 0.0000 0.0000 0.0000 1
Pd1 Pd 0.0000 0.3447 0.7500 1
```

***

Entry 7:
# LaSc2Be

Crystalline LaSc2Be at its relaxed geometry (PBE, Alexandria via LeMat-Bulk).

Values from the calculation:
The formation energy is 43 kJ/mol of formula units. Its crystal system is tetragonal.

```
data_LaSc2Be
_chemical_formula_sum 'La1 Sc2 Be1'
_space_group_name_H-M_alt 'P 4 m m'
_space_group_IT_number 99
_cell_length_a 3.407
_cell_length_b 3.407
_cell_length_c 8.152
_cell_angle_alpha 90.00
_cell_angle_beta 90.00
_cell_angle_gamma 90.00
loop_
_space_group_symop_operation_xyz
'x,y,z'
'-y,x,z'
'-x,-y,z'
'y,-x,z'
'-x,y,z'
'y,x,z'
'x,-y,z'
'-y,-x,z'
loop_
_atom_site_label
_atom_site_type_symbol
_atom_site_fract_x
_atom_site_fract_y
_atom_site_fract_z
_atom_site_occupancy
La1 La 0.000 0.000 0.000 1
Sc1 Sc 0.000 0.000 0.595 1
Sc2 Sc 0.500 0.500 0.334 1
Be1 Be 0.500 0.500 0.750 1
```

***

Entry 8:
# ThGaIr4

Crystalline ThGaIr4 at its relaxed geometry (PBE, Alexandria via LeMat-Bulk).

Values from the calculation:
The formation energy is -249 kJ/mol of formula units. Its crystal system is cubic.

```
data_ThGaIr4
_chemical_formula_sum 'Th4 Ga4 Ir16'
_space_group_name_H-M_alt 'F -4 3 m'
_space_group_IT_number 216
_space_group_name_Hall 'F -4 2 3'
_cell_length_a 7.568
_cell_length_b 7.568
_cell_length_c 7.568
_cell_angle_alpha 90.00
_cell_angle_beta 90.00
_cell_angle_gamma 90.00
loop_
_atom_site_label
_atom_site_type_symbol
_atom_site_fract_x
_atom_site_fract_y
_atom_site_fract_z
_atom_site_occupancy
Th1 Th 0.000 0.000 0.000 1
Ga1 Ga 0.250 0.250 0.250 1
Ir1 Ir 0.124 0.124 0.624 1
```

***

Entry 9:
# Th2Tc3Ge2

Crystalline Th2Tc3Ge2 at its relaxed geometry (PBE, Alexandria via LeMat-Bulk).

Values from the calculation:
The formation energy is -281 kJ/mol of formula units. Its crystal system is monoclinic.

```
data_Th2Tc3Ge2
_chemical_formula_sum 'Th4 Tc6 Ge4'
_space_group_name_H-M_alt 'C 1 2/m 1'
_space_group_IT_number 12
_cell_length_a 10.687
_cell_length_b 4.257
_cell_length_c 6.501
_cell_angle_alpha 90.00
_cell_angle_beta 104.68
_cell_angle_gamma 90.00
loop_
_space_group_symop_operation_xyz
'x,y,z'
'-x,-y,-z'
'-x,y,-z'
'x,-y,z'
'x+1/2,y+1/2,z'
'-x+1/2,-y+1/2,-z'
'-x+1/2,y+1/2,-z'
'x+1/2,-y+1/2,z'
loop_
_atom_site_label
_atom_site_type_symbol
_atom_site_fract_x
_atom_site_fract_y
_atom_site_fract_z
_atom_site_occupancy
Th1 Th 0.109 0.000 0.307 1
Tc1 Tc 0.000 0.500 0.000 1
Tc2 Tc 0.204 0.000 0.915 1
Ge1 Ge 0.108 0.500 0.691 1
```

***

Entry 10:
# AcNdErTl

Crystalline AcNdErTl at its relaxed geometry (PBE, Alexandria via LeMat-Bulk).

Values from the calculation:
The formation energy is 12 kJ/mol of formula units. Its crystal system is cubic.

```
data_AcNdErTl
_chemical_formula_sum 'Ac4 Nd4 Er4 Tl4'
_space_group_name_H-M_alt 'F -4 3 m'
_space_group_IT_number 216
_space_group_name_Hall 'F -4 2 3'
_cell_length_a 8.012
_cell_length_b 8.012
_cell_length_c 8.012
_cell_angle_alpha 90.00
_cell_angle_beta 90.00
_cell_angle_gamma 90.00
loop_
_atom_site_label
_atom_site_type_symbol
_atom_site_fract_x
_atom_site_fract_y
_atom_site_fract_z
_atom_site_occupancy
Ac1 Ac 0.000 0.000 0.000 1
Nd1 Nd 0.250 0.250 0.250 1
Er1 Er 0.250 0.250 0.750 1
Tl1 Tl 0.000 0.000 0.500 1
```

***

Entry 11:
# RbHo2MnTe4

Crystalline RbHo2MnTe4 at its relaxed geometry (PBE, Alexandria via LeMat-Bulk).

Values from the calculation:
Its total energy is -40.22 eV per formula unit. Its crystal system is orthorhombic.

```
data_RbHo2MnTe4
_chemical_formula_sum 'Rb4 Ho8 Mn4 Te16'
_space_group_name_H-M_alt 'C m c m'
_space_group_IT_number 63
_space_group_name_Hall '-C 2c 2'
_cell_length_a 4.408
_cell_length_b 15.379
_cell_length_c 15.487
_cell_angle_alpha 90.00
_cell_angle_beta 90.00
_cell_angle_gamma 90.00
loop_
_atom_site_label
_atom_site_type_symbol
_atom_site_fract_x
_atom_site_fract_y
_atom_site_fract_z
_atom_site_occupancy
Rb1 Rb 0.000 0.114 0.250 1
Ho1 Ho 0.000 0.370 0.063 1
Mn1 Mn 0.000 0.166 0.750 1
Te1 Te 0.000 0.000 0.000 1
Te2 Te 0.000 0.264 0.608 1
Te3 Te 0.000 0.435 0.250 1
```

***

Entry 12:
# PrNdTm5

Crystalline PrNdTm5 at its relaxed geometry (PBE, Alexandria via LeMat-Bulk).

Values from the calculation:
The formation energy is 756 kJ/mol of formula units. Its crystal system is orthorhombic.

```
data_PrNdTm5
_chemical_formula_sum 'Pr2 Nd2 Tm10'
_space_group_name_H-M_alt 'I m m m'
_space_group_IT_number 71
_space_group_name_Hall '-I 2 2'
_cell_length_a 5.732
_cell_length_b 8.635
_cell_length_c 11.774
_cell_angle_alpha 90.00
_cell_angle_beta 90.00
_cell_angle_gamma 90.00
loop_
_atom_site_label
_atom_site_type_symbol
_atom_site_fract_x
_atom_site_fract_y
_atom_site_fract_z
_atom_site_occupancy
Pr1 Pr 0.000 0.000 0.000 1
Nd1 Nd 0.000 0.000 0.500 1
Tm1 Tm 0.000 0.000 0.254 1
Tm2 Tm 0.000 0.321 0.500 1
Tm3 Tm 0.000 0.500 0.000 1
```

***

Number 5 is which compound?
OsRuSe